DFT (PBE-GGA) results for an optimized crystal structure of Th3Cu2Ni3.

Cell: 7.1872 15.2243 5.6486 Å, 90.00 90.00 90.00°
Last column: nearest neighbours and their distance in Å.
Atoms (fractional coordinates):
Th  0.0375  0.1036  0.1530  6 Ni 2.80-3.10, 3 Cu 2.98-3.06
Th  0.0375  0.3964  0.1530  6 Ni 2.80-3.10, 3 Cu 2.98-3.06
Th  0.1850  0.2500  0.6260  3 Ni 2.92-3.06, 4 Cu 2.94-3.05
Th  0.3150  0.7500  0.1260  3 Ni 2.92-3.06, 4 Cu 2.94-3.05
Th  0.4625  0.6036  0.6530  6 Ni 2.80-3.10, 3 Cu 2.98-3.06
Th  0.4625  0.8964  0.6530  6 Ni 2.80-3.10, 3 Cu 2.98-3.06
Th  0.5375  0.1036  0.3470  6 Ni 2.80-3.10, 3 Cu 2.98-3.06
Th  0.5375  0.3964  0.3470  6 Ni 2.80-3.10, 3 Cu 2.98-3.06
Th  0.6850  0.2500  0.8740  3 Ni 2.92-3.06, 4 Cu 2.94-3.05
Th  0.8150  0.7500  0.3740  3 Ni 2.92-3.06, 4 Cu 2.94-3.05
Th  0.9625  0.6036  0.8470  6 Ni 2.80-3.10, 3 Cu 2.98-3.06
Th  0.9625  0.8964  0.8470  6 Ni 2.80-3.10, 3 Cu 2.98-3.06
Cu  0.1106  0.6061  0.3547  4 Ni 2.43-2.68
Cu  0.1106  0.8939  0.3547  4 Ni 2.43-2.68
Cu  0.3894  0.1061  0.8547  4 Ni 2.43-2.68
Cu  0.3894  0.3939  0.8547  4 Ni 2.43-2.68
Cu  0.6106  0.6061  0.1453  4 Ni 2.43-2.68
Cu  0.6106  0.8939  0.1453  4 Ni 2.43-2.68
Cu  0.8894  0.1061  0.6453  4 Ni 2.43-2.68
Cu  0.8894  0.3939  0.6453  4 Ni 2.43-2.68
Ni  0.1783  0.7500  0.6127  2 Cu 2.68, 2 Th 2.92-2.94
Ni  0.1946  0.0322  0.5648  3 Cu 2.43-2.51
Ni  0.1946  0.4678  0.5648  3 Cu 2.43-2.51
Ni  0.3054  0.5322  0.0648  3 Cu 2.43-2.51
Ni  0.3054  0.9678  0.0648  3 Cu 2.43-2.51
Ni  0.3217  0.2500  0.1127  2 Cu 2.68, 2 Th 2.92-2.94
Ni  0.6783  0.7500  0.8873  2 Cu 2.68, 2 Th 2.92-2.94
Ni  0.6946  0.0322  0.9352  3 Cu 2.43-2.51
Ni  0.6946  0.4678  0.9352  3 Cu 2.43-2.51
Ni  0.8054  0.5322  0.4352  3 Cu 2.43-2.51
Ni  0.8054  0.9678  0.4352  3 Cu 2.43-2.51
Ni  0.8217  0.2500  0.3873  2 Cu 2.68, 2 Th 2.92-2.94

The value obtained for the volume is 155 Å³/f.u. The space-group type is Pnma (62). As for the crystal system: orthorhombic. Its energy of formation is -0.30 eV per atom.

***

DFT (PBE-GGA) results for an optimized crystal structure of Th3CuNi2.

Cell: 7.2399 7.2399 7.2399 Å, 62.24 62.24 62.24°
Last column: nearest neighbours and their distance in Å.
Atoms (fractional coordinates):
Th  0.0472  0.7500  0.4528  4 Ni 2.85-2.88, 2 Cu 3.01
Th  0.2500  0.5472  0.9528  4 Ni 2.85-2.88, 2 Cu 3.01
Th  0.4528  0.0472  0.7500  4 Ni 2.85-2.88, 2 Cu 3.01
Th  0.5472  0.9528  0.2500  4 Ni 2.85-2.88, 2 Cu 3.01
Th  0.7500  0.4528  0.0472  4 Ni 2.85-2.88, 2 Cu 3.01
Th  0.9528  0.2500  0.5472  4 Ni 2.85-2.88, 2 Cu 3.01
Cu  0.0000  0.0000  0.0000  2 Ni 2.52
Cu  0.5000  0.5000  0.5000  2 Ni 2.52
Ni  0.1447  0.1447  0.1447  1 Cu 2.52
Ni  0.3553  0.3553  0.3553  1 Cu 2.52
Ni  0.6447  0.6447  0.6447  1 Cu 2.52
Ni  0.8553  0.8553  0.8553  1 Cu 2.52

The value obtained for the volume is 141 Å³/f.u. The space-group type is R-3c (167). As for the crystal system: trigonal. Its energy of formation is -0.21 eV per atom.

***

DFT (PBE-GGA) results for an optimized crystal structure of Th2Cu2Ni.

Cell: 5.7585 5.7585 11.0654 Å, 114.61 114.61 39.20°
Last column: nearest neighbours and their distance in Å.
Atoms (fractional coordinates):
Th  0.0625  0.0625  0.3592  2 Ni 2.86, 7 Cu 2.98-3.19
Th  0.2056  0.2056  0.1114  2 Ni 2.84, 6 Cu 3.05-3.12
Th  0.7944  0.7944  0.8886  2 Ni 2.84, 6 Cu 3.05-3.12
Th  0.9375  0.9375  0.6408  2 Ni 2.86, 7 Cu 2.98-3.19
Cu  0.3779  0.3779  0.4166  2 Ni 2.47, 1 Cu 2.47
Cu  0.4881  0.4881  0.1136  1 Ni 2.54, 1 Cu 2.64
Cu  0.5119  0.5119  0.8864  1 Ni 2.54, 1 Cu 2.64
Cu  0.6221  0.6221  0.5834  2 Ni 2.47, 1 Cu 2.47
Ni  0.2721  0.2721  0.6916  3 Cu 2.47-2.54
Ni  0.7279  0.7279  0.3084  3 Cu 2.47-2.54

The value obtained for the volume is 104 Å³/f.u. The space-group type is C2/m (12). As for the crystal system: monoclinic. Its energy of formation is -0.24 eV per atom.

***

Which value of volume does entry 1 give? 155 Å³/f.u.

***

What did the third record say?
DFT (PBE-GGA) results for an optimized crystal structure of Th2Cu2Ni.

Cell: 5.7585 5.7585 11.0654 Å, 114.61 114.61 39.20°
Last column: nearest neighbours and their distance in Å.
Atoms (fractional coordinates):
Th  0.0625  0.0625  0.3592  2 Ni 2.86, 7 Cu 2.98-3.19
Th  0.2056  0.2056  0.1114  2 Ni 2.84, 6 Cu 3.05-3.12
Th  0.7944  0.7944  0.8886  2 Ni 2.84, 6 Cu 3.05-3.12
Th  0.9375  0.9375  0.6408  2 Ni 2.86, 7 Cu 2.98-3.19
Cu  0.3779  0.3779  0.4166  2 Ni 2.47, 1 Cu 2.47
Cu  0.4881  0.4881  0.1136  1 Ni 2.54, 1 Cu 2.64
Cu  0.5119  0.5119  0.8864  1 Ni 2.54, 1 Cu 2.64
Cu  0.6221  0.6221  0.5834  2 Ni 2.47, 1 Cu 2.47
Ni  0.2721  0.2721  0.6916  3 Cu 2.47-2.54
Ni  0.7279  0.7279  0.3084  3 Cu 2.47-2.54

The value obtained for the volume is 104 Å³/f.u. The space-group type is C2/m (12). As for the crystal system: monoclinic. Its energy of formation is -0.24 eV per atom.

***

What did the third record say?
DFT (PBE-GGA) results for an optimized crystal structure of Th2Cu2Ni.

Cell: 5.7585 5.7585 11.0654 Å, 114.61 114.61 39.20°
Last column: nearest neighbours and their distance in Å.
Atoms (fractional coordinates):
Th  0.0625  0.0625  0.3592  2 Ni 2.86, 7 Cu 2.98-3.19
Th  0.2056  0.2056  0.1114  2 Ni 2.84, 6 Cu 3.05-3.12
Th  0.7944  0.7944  0.8886  2 Ni 2.84, 6 Cu 3.05-3.12
Th  0.9375  0.9375  0.6408  2 Ni 2.86, 7 Cu 2.98-3.19
Cu  0.3779  0.3779  0.4166  2 Ni 2.47, 1 Cu 2.47
Cu  0.4881  0.4881  0.1136  1 Ni 2.54, 1 Cu 2.64
Cu  0.5119  0.5119  0.8864  1 Ni 2.54, 1 Cu 2.64
Cu  0.6221  0.6221  0.5834  2 Ni 2.47, 1 Cu 2.47
Ni  0.2721  0.2721  0.6916  3 Cu 2.47-2.54
Ni  0.7279  0.7279  0.3084  3 Cu 2.47-2.54

The value obtained for the volume is 104 Å³/f.u. The space-group type is C2/m (12). As for the crystal system: monoclinic. Its energy of formation is -0.24 eV per atom.